Computed, not measured: CeTaTiO6 after structural relaxation at the PBE level of DFT.

## Properties
Raw formation energy   -3.113 eV per atom
Energy above the lowest structure with this stoichiometry   0.024 eV per atom
E   -9.2722 eV per atom
Symmetry   P-31c (163)
Total magnetic moment   1.039 μB/f.u.
Theoretical density   6.38 g/cm3
DOS at the Fermi energy   8.08 states/eV/f.u.

Lattice parameters (Å, degrees): 5.242 5.242 10.171 90.00 90.00 120.00
Fractional positions:
Ce  0.000  0.000  0.000
Ce  0.000  0.000  0.500
Ta  0.333  0.667  0.250
Ta  0.667  0.333  0.750
Ti  0.333  0.667  0.750
Ti  0.667  0.333  0.250
O  0.002  0.367  0.642
O  0.002  0.635  0.858
O  0.365  0.367  0.858
O  0.365  0.998  0.642
O  0.367  0.002  0.142
O  0.367  0.365  0.358
O  0.633  0.635  0.642
O  0.633  0.998  0.858
O  0.635  0.002  0.358
O  0.635  0.633  0.142
O  0.998  0.365  0.142
O  0.998  0.633  0.358